No. 1
PrCuPd (GGA-PBE, optimized geometry); ΔE to the lowest computed polymorph = 0 kJ/mol of formula units; size of the total moment = 0.003 Bohr magnetons per cell; ΔH_f (0 K) = -0.313 eV per atom; theoretical density = 7.28 Mg/m³; electronic total energy = -4.87 eV per atom; crystal system = cubic
1.0
2.918 1.023 3.468
0.475 4.400 1.415
-1.672 1.304 4.135
Cu Pd Pr
1 1 1
Direct
0.000 0.000 0.000
0.750 0.750 0.750
0.500 0.500 0.500

No. 2
PrCu6Pd6 (GGA-PBE, optimized geometry); size of the total moment = 0.006 Bohr magnetons per cell; ΔH_f (0 K) = -0.323 eV per atom; theoretical density = 9.94 Mg/m³; electronic total energy = -4.79 eV per atom; crystal system = orthorhombic
1.0
-2.507 4.348 4.444
2.507 -4.348 4.444
2.507 4.348 -4.444
Cu Pd Pr
6 6 1
Direct
0.500 0.000 0.000
0.000 0.500 0.000
0.000 0.000 0.500
0.764 0.264 0.500
0.500 0.500 0.500
0.236 0.736 0.500
0.348 0.348 0.000
0.652 0.652 0.000
0.803 0.500 0.303
0.345 0.000 0.345
0.655 0.000 0.655
0.197 0.500 0.697
0.000 0.000 0.000

No. 3
PrCuPd (GGA-PBE, optimized geometry); ΔE to the lowest computed polymorph = 115 kJ/mol of formula units; size of the total moment = 0.000 Bohr magnetons per cell; ΔH_f (0 K) = 0.085 eV per atom; theoretical density = 6.75 Mg/m³; electronic total energy = -4.47 eV per atom; crystal system = cubic
1.0
0.000 3.368 3.368
3.368 0.000 3.368
3.368 3.368 0.000
Cu Pd Pr
1 1 1
Direct
0.250 0.250 0.250
0.750 0.750 0.750
0.000 0.000 0.000

No. 4
PrCu4Pd8 (GGA-PBE, optimized geometry); size of the total moment = 0.000 Bohr magnetons per cell; ΔH_f (0 K) = -0.327 eV per atom; theoretical density = 10.21 Mg/m³; electronic total energy = -5.02 eV per atom; crystal system = tetragonal
1.0
-4.492 4.492 2.512
4.492 -4.492 2.512
4.492 4.492 -2.512
Cu Pd Pr
4 8 1
Direct
0.500 0.000 0.000
0.000 0.500 0.000
0.000 0.000 0.500
0.500 0.500 0.500
0.720 0.500 0.220
0.500 0.720 0.220
0.349 0.000 0.349
0.000 0.349 0.349
0.651 0.000 0.651
0.000 0.651 0.651
0.500 0.280 0.780
0.280 0.500 0.780
0.000 0.000 0.000

No. 5
Pr2CuSi2Pd (GGA-PBE, optimized geometry); size of the total moment = 0.000 Bohr magnetons per cell; theoretical density = 6.44 Mg/m³; electronic total energy = -5.63 eV per atom; crystal system = hexagonal
1.0
4.231 0.000 0.000
-2.115 3.664 0.000
0.000 0.000 8.453
Cu Pd Pr Si
1 1 2 2
Direct
0.000 0.000 0.500
0.333 0.667 0.000
0.667 0.333 0.251
0.667 0.333 0.749
0.000 0.000 0.000
0.333 0.667 0.500

No. 6
PrCuSi2Pd (GGA-PBE, optimized geometry); size of the total moment = 0.003 Bohr magnetons per cell; theoretical density = 7.00 Mg/m³; electronic total energy = -5.67 eV per atom; crystal system = tetragonal
1.0
-2.081 2.081 5.028
2.081 -2.081 5.028
2.081 2.081 -5.028
Cu Pd Pr Si
1 1 1 2
Direct
0.000 0.000 0.000
0.500 0.500 0.000
0.250 0.750 0.500
0.631 0.131 0.500
0.869 0.369 0.500

No. 7
PrCuSn2Pd (GGA-PBE, optimized geometry); ΔE to the lowest computed polymorph = 0 kJ/mol of formula units; size of the total moment = 0.016 Bohr magnetons per cell; theoretical density = 8.22 Mg/m³; electronic total energy = -4.95 eV per atom; crystal system = tetragonal
1.0
-1.745 4.012 -1.055
-4.061 -1.418 1.323
2.060 3.563 10.139
Cu Pd Pr Sn
2 2 2 4
Direct
0.000 0.000 0.000
0.500 0.500 0.000
0.500 0.000 0.363
0.000 0.500 0.637
0.000 0.500 0.237
0.500 0.000 0.763
0.500 0.000 0.124
0.000 0.000 0.500
0.500 0.500 0.500
0.000 0.500 0.876

No. 8
PrCuSn2Pd (GGA-PBE, optimized geometry); ΔE to the lowest computed polymorph = 0 kJ/mol of formula units; size of the total moment = 0.008 Bohr magnetons per cell; theoretical density = 8.24 Mg/m³; electronic total energy = -4.95 eV per atom; crystal system = monoclinic
1.0
-2.279 3.738 1.255
-3.442 -1.220 -2.616
-4.238 -5.616 8.195
Cu Pd Pr Sn
2 2 2 4
Direct
0.695 0.250 0.001
0.305 0.750 0.999
0.245 0.250 0.365
0.755 0.750 0.635
0.736 0.750 0.240
0.264 0.250 0.760
0.207 0.250 0.121
0.751 0.250 0.499
0.249 0.750 0.501
0.793 0.750 0.879

Look up the theoretical density of the first one. 7.28 Mg/m³

What did the eighth record say?
PrCuSn2Pd (GGA-PBE, optimized geometry); ΔE to the lowest computed polymorph = 0 kJ/mol of formula units; size of the total moment = 0.008 Bohr magnetons per cell; theoretical density = 8.24 Mg/m³; electronic total energy = -4.95 eV per atom; crystal system = monoclinic
1.0
-2.279 3.738 1.255
-3.442 -1.220 -2.616
-4.238 -5.616 8.195
Cu Pd Pr Sn
2 2 2 4
Direct
0.695 0.250 0.001
0.305 0.750 0.999
0.245 0.250 0.365
0.755 0.750 0.635
0.736 0.750 0.240
0.264 0.250 0.760
0.207 0.250 0.121
0.751 0.250 0.499
0.249 0.750 0.501
0.793 0.750 0.879

The highest theoretical density belongs to which entry? PrCu4Pd8

size of the total moment of number 7 (PrCuSn2Pd)? 0.016 Bohr magnetons per cell